An optimized crystal structure of Ga2CuRe. Source: Alexandria, functional PBE-GGA.

Cell and atoms, written as POSCAR:
```
Ga2CuRe
1.0
0.0000 3.0597 3.0597
3.0597 0.0000 3.0597
3.0597 3.0597 0.0000
Ga Cu Re
2 1 1
direct
0.2500 0.2500 0.2500
0.7500 0.7500 0.7500
0.0000 0.0000 0.0000
0.5000 0.5000 0.5000
```

- Space group: No. 225
- N(E_F): 0.532 states/eV/atom
- Calculated total energy: -21.7 eV for the cell shown
- Energy of formation: 0.225 eV per atom
- M_tot: 0.0000 μB/atom